1.
{
  "formula": "Gd2MgAu",
  "functional": "GGA-PBE",
  "state": "relaxed",
  "n_ef_per_ev_cell": 3.7,
  "ef_ev_per_fu": -1.86,
  "energy_ev_per_atom": -8.72,
  "polymorph_energy_kj_per_mol_atoms": 0.0,
  "spacegroup": "No. 123",
  "lattice_angstrom": [[3.740, 0.000, 0.000], [0.000, 3.740, 0.000], [0.000, 0.000, 7.330]],
  "species": ["Gd", "Mg", "Gd", "Au"],
  "fractional_positions": [[0.000, 0.000, 0.266], [0.500, 0.500, 0.000], [0.000, 0.000, 0.734], [0.500, 0.500, 0.500]]
}

2.
{
  "formula": "Li2AgSI",
  "functional": "GGA-PBE",
  "state": "relaxed",
  "energy_ev_per_atom": -3.30,
  "spacegroup": "No. 123",
  "lattice_angstrom": [[4.830, 0.000, 0.000], [0.000, 4.830, 0.000], [0.000, 0.000, 4.914]],
  "species": ["S", "Ag", "Li", "I", "Li"],
  "fractional_positions": [[0.000, 0.000, 0.000], [0.000, 0.000, 0.500], [0.000, 0.500, 0.000], [0.500, 0.500, 0.500], [0.500, 0.000, 0.000]]
}

3.
{
  "formula": "Ac3TlZn2Pd6",
  "functional": "GGA-PBE",
  "state": "relaxed",
  "n_ef_per_ev_cell": 7.3,
  "ef_ev_per_fu": -6.71,
  "energy_ev_per_atom": -4.59,
  "spacegroup": "No. 164",
  "lattice_angstrom": [[5.929, 0.000, 0.000], [-2.964, 5.134, 0.000], [0.000, 0.000, 9.165]],
  "species": ["Pd", "Pd", "Ac", "Ac", "Pd", "Zn", "Pd", "Pd", "Zn", "Pd", "Ac", "Tl"],
  "fractional_positions": [[0.176, 0.824, 0.267], [0.352, 0.176, 0.733], [0.667, 0.333, 0.366], [0.000, 0.000, 0.000], [0.824, 0.648, 0.733], [0.333, 0.667, 0.035], [0.824, 0.176, 0.733], [0.648, 0.824, 0.267], [0.667, 0.333, 0.965], [0.176, 0.352, 0.267], [0.333, 0.667, 0.634], [0.000, 0.000, 0.500]]
}

4.
{
  "formula": "LaCrIn2",
  "functional": "GGA-PBE",
  "state": "relaxed",
  "n_ef_per_ev_cell": 2.8,
  "ef_ev_per_fu": -0.26,
  "energy_ev_per_atom": -5.07,
  "spacegroup": "No. 166",
  "lattice_angstrom": [[4.684, -0.487, 0.370], [2.753, 3.821, 0.370], [2.022, 0.907, 5.771]],
  "species": ["In", "La", "In", "Cr"],
  "fractional_positions": [[0.467, 0.467, 0.600], [0.250, 0.250, 0.250], [0.033, 0.033, 0.900], [0.750, 0.750, 0.750]]
}